[1]
# Tb2Nd3Sm8 PBE optimized geometry
data_Tb2Nd3Sm8
_chemical_formula_sum 'Tb2 Nd3 Sm8'
_cell_length_a 6.255
_cell_length_b 8.132
_cell_length_c 9.616
_cell_angle_alpha 65.37
_cell_angle_beta 89.99
_cell_angle_gamma 82.23
_space_group_name_H-M_alt 'P -1'
_space_group_IT_number 2
loop_
_space_group_symop_operation_xyz
'x,y,z'
'-x,-y,-z'
loop_
_atom_site_label
_atom_site_fract_x
_atom_site_fract_y
_atom_site_fract_z
Tb1 0.231 0.114 0.424
Nd1 0.000 0.500 0.500
Nd2 0.383 0.193 0.039
Sm1 0.076 0.038 0.806
Sm2 0.155 0.576 0.116
Sm3 0.306 0.656 0.729
Sm4 0.462 0.732 0.347
# Relative energy among the computed polymorphs = 0.0 meV/atom
# DFT formation energy = 0.013 eV/atom
# DOS(E_F) = 1.484 states/eV/atom
# DFT total energy = -61.14 eV for the cell shown



[2]
# K4Cd3Hg16 PBE optimized geometry
data_K4Cd3Hg16
_chemical_formula_sum 'K4 Cd3 Hg16'
_cell_length_a 7.348
_cell_length_b 7.348
_cell_length_c 12.892
_cell_angle_alpha 90.00
_cell_angle_beta 90.00
_cell_angle_gamma 90.00
_space_group_name_H-M_alt 'P 4/m m m'
_space_group_IT_number 123
_space_group_name_Hall '-P 4 2'
loop_
_atom_site_label
_atom_site_fract_x
_atom_site_fract_y
_atom_site_fract_z
K1 0.000 0.500 0.189
Cd1 0.000 0.000 0.000
Cd2 0.000 0.500 0.500
Hg1 0.000 0.000 0.239
Hg2 0.259 0.259 0.374
Hg3 0.288 0.288 0.000
Hg4 0.500 0.500 0.205
# DFT formation energy = -0.143 eV/atom
# DOS(E_F) = 0.360 states/eV/atom
# DFT total energy = -15.25 eV for the cell shown



[3]
# ZrAlNi PBE optimized geometry
data_ZrAlNi
_chemical_formula_sum 'Zr2 Al2 Ni2'
_cell_length_a 3.022
_cell_length_b 3.022
_cell_length_c 10.453
_cell_angle_alpha 90.00
_cell_angle_beta 90.00
_cell_angle_gamma 90.00
_space_group_name_H-M_alt 'I 4 m m'
_space_group_IT_number 107
_space_group_name_Hall 'I 4 -2'
loop_
_atom_site_label
_atom_site_fract_x
_atom_site_fract_y
_atom_site_fract_z
Zr1 0.000 0.000 0.000
Al1 0.000 0.000 0.298
Ni1 0.000 0.000 0.674
# DFT formation energy = -0.479 eV/atom
# DOS(E_F) = 0.716 states/eV/atom
# DFT total energy = -39.02 eV for the cell shown



[4]
# CaPmInCu PBE optimized geometry
data_CaPmInCu
_chemical_formula_sum 'Ca4 Pm4 In4 Cu4'
_cell_length_a 7.454
_cell_length_b 7.454
_cell_length_c 7.454
_cell_angle_alpha 90.00
_cell_angle_beta 90.00
_cell_angle_gamma 90.00
_space_group_name_H-M_alt 'F -4 3 m'
_space_group_IT_number 216
_space_group_name_Hall 'F -4 2 3'
loop_
_atom_site_label
_atom_site_fract_x
_atom_site_fract_y
_atom_site_fract_z
Ca1 0.000 0.000 0.000
Pm1 0.000 0.000 0.500
In1 0.250 0.250 0.750
Cu1 0.250 0.250 0.250
# DFT formation energy = -0.274 eV/atom
# DOS(E_F) = 0.785 states/eV/atom
# DFT total energy = -58.74 eV for the cell shown



[5]
# Na2HfZrSe4 PBE optimized geometry
data_Na2HfZrSe4
_chemical_formula_sum 'Na2 Hf1 Zr1 Se4'
_cell_length_a 6.606
_cell_length_b 3.818
_cell_length_c 7.553
_cell_angle_alpha 90.00
_cell_angle_beta 107.03
_cell_angle_gamma 90.00
_space_group_name_H-M_alt 'P 1 2/m 1'
_space_group_IT_number 10
loop_
_space_group_symop_operation_xyz
'x,y,z'
'-x,-y,-z'
'-x,y,-z'
'x,-y,z'
loop_
_atom_site_label
_atom_site_fract_x
_atom_site_fract_y
_atom_site_fract_z
Na1 0.000 0.000 0.000
Na2 0.500 0.500 0.000
Hf1 0.000 0.500 0.500
Zr1 0.500 0.000 0.500
Se1 0.238 0.000 0.724
Se2 0.254 0.500 0.273
# DOS(E_F) = 0.414 states/eV/atom
# DFT total energy = -45.32 eV for the cell shown
# Raw formation energy = -989 kJ/mol of formula units



[6]
# Pa2HgRh PBE optimized geometry
data_Pa2HgRh
_chemical_formula_sum 'Pa6 Hg3 Rh3'
_cell_length_a 3.1694
_cell_length_b 3.1694
_cell_length_c 33.1421
_cell_angle_alpha 90.00
_cell_angle_beta 90.00
_cell_angle_gamma 120.00
_space_group_name_H-M_alt 'R -3 m'
_space_group_IT_number 166
_space_group_name_Hall '-R 3 2"'
loop_
_atom_site_label
_atom_site_fract_x
_atom_site_fract_y
_atom_site_fract_z
Pa1 0.0000 0.0000 0.0980
Hg1 0.0000 0.0000 0.0000
Rh1 0.0000 0.0000 0.5000
# Relative energy among the computed polymorphs = 295.5 meV/atom
# DFT formation energy = 0.074 eV/atom
# DOS(E_F) = 1.889 states/eV/atom
# DFT total energy = -79.04 eV for the cell shown



[7]
# TiTeAuF2 PBE optimized geometry
data_TiTeAuF2
_chemical_formula_sum 'Ti1 Te1 Au1 F2'
_cell_length_a 3.994
_cell_length_b 3.994
_cell_length_c 5.862
_cell_angle_alpha 90.00
_cell_angle_beta 90.00
_cell_angle_gamma 90.00
_space_group_name_H-M_alt 'P 4/m m m'
_space_group_IT_number 123
_space_group_name_Hall '-P 4 2'
loop_
_atom_site_label
_atom_site_fract_x
_atom_site_fract_y
_atom_site_fract_z
Ti1 0.000 0.000 0.000
Te1 0.000 0.000 0.500
Au1 0.500 0.500 0.500
F1 0.000 0.500 0.000
# DOS(E_F) = 0.652 states/eV/atom
# DFT total energy = -26.97 eV for the cell shown
# Raw formation energy = -860 kJ/mol of formula units



[8]
# BaCuSe3 PBE optimized geometry
data_BaCuSe3
_chemical_formula_sum 'Ba1 Cu1 Se3'
_cell_length_a 4.989
_cell_length_b 4.989
_cell_length_c 4.989
_cell_angle_alpha 90.00
_cell_angle_beta 90.00
_cell_angle_gamma 90.00
_space_group_name_H-M_alt 'P m -3 m'
_space_group_IT_number 221
_space_group_name_Hall '-P 4 2 3'
loop_
_atom_site_label
_atom_site_fract_x
_atom_site_fract_y
_atom_site_fract_z
Ba1 0.000 0.000 0.000
Cu1 0.500 0.500 0.500
Se1 0.000 0.500 0.500
# Relative energy among the computed polymorphs = 0.0 meV/atom
# DOS(E_F) = 0.814 states/eV/atom
# DFT total energy = -20.08 eV for the cell shown
# Raw formation energy = -348 kJ/mol of formula units



[9]
# BiPd4Pb2 PBE optimized geometry
data_BiPd4Pb2
_chemical_formula_sum 'Bi2 Pd8 Pb4'
_cell_length_a 7.004
_cell_length_b 7.190
_cell_length_c 7.571
_cell_angle_alpha 87.28
_cell_angle_beta 65.37
_cell_angle_gamma 61.20
_space_group_name_H-M_alt 'P 1'
_space_group_IT_number 1
loop_
_space_group_symop_operation_xyz
'x,y,z'
loop_
_atom_site_label
_atom_site_fract_x
_atom_site_fract_y
_atom_site_fract_z
Bi1 0.000 0.000 0.000
Bi2 0.439 0.472 0.966
Pd1 0.155 0.284 0.083
Pd2 0.375 0.015 0.690
Pd3 0.382 0.850 0.122
Pd4 0.419 0.392 0.630
Pd5 0.646 0.422 0.232
Pd6 0.693 0.998 0.834
Pd7 0.828 0.001 0.405
Pd8 0.911 0.254 0.627
Pb1 0.202 0.786 0.517
Pb2 0.395 0.162 0.333
Pb3 0.796 0.614 0.438
Pb4 0.906 0.555 0.874
# Relative energy among the computed polymorphs = 45.0 meV/atom
# DFT formation energy = -0.192 eV/atom
# DOS(E_F) = 0.538 states/eV/atom
# DFT total energy = -66.82 eV for the cell shown



[10]
# LaMn2N PBE optimized geometry
data_LaMn2N
_chemical_formula_sum 'La4 Mn8 N4'
_cell_length_a 5.953
_cell_length_b 5.953
_cell_length_c 8.431
_cell_angle_alpha 90.00
_cell_angle_beta 90.00
_cell_angle_gamma 90.00
_space_group_name_H-M_alt 'I -4 2 d'
_space_group_IT_number 122
_space_group_name_Hall 'I -4 2bw'
loop_
_atom_site_label
_atom_site_fract_x
_atom_site_fract_y
_atom_site_fract_z
La1 0.000 0.000 0.000
Mn1 0.001 0.750 0.625
N1 0.000 0.000 0.500
# DOS(E_F) = 1.142 states/eV/atom
# DFT total energy = -128.23 eV for the cell shown
# Raw formation energy = -45 kJ/mol of formula units



[11]
# BaNaErBr6 PBE optimized geometry
data_BaNaErBr6
_chemical_formula_sum 'Ba2 Na2 Er2 Br12'
_cell_length_a 7.4944
_cell_length_b 7.4944
_cell_length_c 13.8225
_cell_angle_alpha 90.00
_cell_angle_beta 90.00
_cell_angle_gamma 120.00
_space_group_name_H-M_alt 'P -3 1 c'
_space_group_IT_number 163
_space_group_name_Hall '-P 3 2c'
loop_
_atom_site_label
_atom_site_fract_x
_atom_site_fract_y
_atom_site_fract_z
Ba1 0.0000 0.0000 0.0000
Na1 0.3333 0.6667 0.2500
Er1 0.3333 0.6667 0.7500
Br1 0.0205 0.3703 0.6338
# DOS(E_F) = 0.000 states/eV/atom
# DFT total energy = -69.88 eV for the cell shown
# Raw formation energy = -1650 kJ/mol of formula units



[12]
# ThScZn3 PBE optimized geometry
data_ThScZn3
_chemical_formula_sum 'Th4 Sc4 Zn12'
_cell_length_a 3.449
_cell_length_b 26.721
_cell_length_c 4.500
_cell_angle_alpha 90.00
_cell_angle_beta 90.00
_cell_angle_gamma 90.00
_space_group_name_H-M_alt 'C m c m'
_space_group_IT_number 63
_space_group_name_Hall '-C 2c 2'
loop_
_atom_site_label
_atom_site_fract_x
_atom_site_fract_y
_atom_site_fract_z
Th1 0.000 0.076 0.250
Sc1 0.000 0.212 0.750
Zn1 0.000 0.319 0.750
Zn2 0.000 0.373 0.250
Zn3 0.000 0.475 0.250
# DFT formation energy = -0.281 eV/atom
# DOS(E_F) = 0.870 states/eV/atom
# DFT total energy = -75.91 eV for the cell shown